Entry 1:
VASP calculation (PBE) on crystalline SmErI6 at its relaxed geometry.

Geometry as POSCAR:
```
SmErI6
1.0
7.657 0.010 0.009
3.820 6.636 0.014
3.817 2.206 6.921
I Er Sm
6 1 1
Cartesian
8.867 6.597 5.184
5.151 4.397 5.176
6.379 6.574 1.767
10.142 4.456 1.769
6.427 2.256 1.761
8.914 2.279 5.178
7.647 4.426 3.472
0.000 0.000 0.000
```

Results
Symmetry: R-3
Excess energy over the best structure of this formula in the dataset: 24 meV per atom



Entry 2:
VASP calculation (PBE) on crystalline SmEr2I8 at its relaxed geometry.

Geometry as POSCAR:
```
SmEr2I8
1.0
7.332 0.009 0.006
0.050 9.576 1.009
0.050 3.550 8.951
I Er Sm
8 2 1
Cartesian
2.005 4.305 3.267
5.605 7.233 2.117
1.828 5.902 7.849
5.605 3.987 6.395
5.659 2.162 1.641
5.428 8.830 6.700
1.828 9.148 3.571
1.774 10.972 8.325
2.728 2.148 1.630
4.705 10.987 8.336
0.000 0.000 0.000
```

Results
Symmetry: C2/m



Entry 3:
VASP calculation (PBE) on crystalline SmErI6 at its relaxed geometry.

Geometry as POSCAR:
```
SmErI6
1.0
8.070 -0.458 -1.268
-4.627 6.628 -1.268
0.089 0.160 7.503
Er I Sm
1 6 1
Cartesian
0.000 0.000 0.000
4.538 3.750 3.752
0.808 5.831 3.752
-1.005 2.580 1.214
2.724 0.499 1.214
0.918 1.645 5.023
2.614 4.685 -0.057
1.766 3.165 2.483
```

Results
Symmetry: C2/m
Excess energy over the best structure of this formula in the dataset: 0 meV per atom



Entry 4:
VASP calculation (PBE) on crystalline Sm2ErI at its relaxed geometry.

Geometry as POSCAR:
```
Sm2ErI
1.0
-0.784 -0.167 -3.579
-3.573 -0.234 0.793
-0.691 9.572 -0.295
I Sm Er
1 2 1
Cartesian
-2.524 4.586 -1.540
-0.514 7.120 -0.219
-0.177 2.452 -0.076
-2.178 -0.200 -1.393
```

Results
Symmetry: P4/mmm
Excess energy over the best structure of this formula in the dataset: 53 meV per atom



Entry 5:
VASP calculation (PBE) on crystalline Sm2ErI at its relaxed geometry.

Geometry as POSCAR:
```
Sm2ErI
1.0
3.798 0.000 0.000
1.899 3.289 0.000
1.899 1.096 10.557
Er I Sm
1 1 2
Cartesian
3.798 2.193 5.286
3.798 2.193 0.000
1.899 1.096 2.518
1.899 1.096 8.031
```

Results
Symmetry: R3m
Excess energy over the best structure of this formula in the dataset: 0 meV per atom



Entry 6:
VASP calculation (PBE) on crystalline Sm2ErI at its relaxed geometry.

Geometry as POSCAR:
```
Sm2ErI
1.0
-0.816 -2.880 2.041
1.738 -3.137 -0.516
8.484 1.233 8.348
Er I Sm
1 1 2
Cartesian
0.000 0.000 0.000
4.703 -2.392 4.936
6.159 0.312 6.119
3.247 -5.097 3.754
```

Results
Symmetry: R-3m
Excess energy over the best structure of this formula in the dataset: 311 meV per atom



Entry 7:
VASP calculation (PBE) on crystalline SmErI2 at its relaxed geometry.

Geometry as POSCAR:
```
SmErI2
1.0
3.871 0.000 0.000
1.936 3.353 0.000
1.936 1.118 10.695
Sm Er I
1 1 2
Cartesian
3.871 2.235 5.347
0.000 0.000 0.000
1.936 1.118 7.624
5.807 3.353 3.070
```

Results
Symmetry: R-3m



Entry 8:
VASP calculation (PBE) on crystalline ErTlSnI6 at its relaxed geometry.

Geometry as POSCAR:
```
ErTlSnI6
1.0
8.013 0.000 0.000
-4.006 6.939 0.000
0.000 0.000 15.211
I Sn Tl Er
12 2 2 2
Cartesian
5.108 0.115 5.565
-1.352 2.573 9.646
1.102 6.824 13.170
1.352 2.573 13.170
2.454 4.482 9.646
2.654 4.366 2.040
-1.102 6.824 9.646
-2.454 4.482 13.170
5.358 4.366 5.565
1.552 2.457 5.565
6.460 2.457 2.040
2.904 0.115 2.040
4.006 2.313 11.408
0.000 4.626 3.803
0.000 0.000 7.605
0.000 0.000 0.000
0.000 4.626 11.408
4.006 2.313 3.803
```

Results
Symmetry: P-31c



Entry 9:
VASP calculation (PBE) on crystalline ErTlSn2I8 at its relaxed geometry.

Geometry as POSCAR:
```
ErTlSn2I8
1.0
-2.647 7.154 1.422
-2.205 -1.988 6.663
8.505 2.445 3.555
I Sn Tl Er
8 2 1 1
Cartesian
0.953 4.326 7.548
-0.178 0.154 6.025
5.024 5.765 9.618
-1.371 1.846 2.021
-0.892 6.095 3.635
2.699 3.285 4.092
4.545 1.516 8.004
3.831 7.457 5.614
3.951 4.418 6.709
-0.299 3.193 4.931
4.253 1.222 1.777
0.000 0.000 0.000
```

Results
Symmetry: P-1



Entry 10:
VASP calculation (PBE) on crystalline SrErI6 at its relaxed geometry.

Geometry as POSCAR:
```
SrErI6
1.0
7.869 0.007 0.010
3.924 6.812 0.044
3.916 2.295 6.772
I Er Sr
6 1 1
Cartesian
8.921 2.295 5.088
10.371 4.357 1.774
5.337 4.758 5.052
6.458 2.480 1.734
9.250 6.634 5.092
6.787 6.820 1.737
7.854 4.557 3.413
0.000 0.000 0.000
```

Results
Symmetry: P-1



Entry 11:
VASP calculation (PBE) on crystalline Sr2ErI at its relaxed geometry.

Geometry as POSCAR:
```
Sr2ErI
1.0
-0.119 -0.261 3.949
2.801 -2.020 1.935
7.705 9.533 2.847
Sr Er I
2 1 1
Cartesian
4.672 0.727 6.143
5.715 6.525 2.588
0.000 0.000 0.000
5.193 3.626 4.366
```

Results
Symmetry: R-3m



Entry 12:
VASP calculation (PBE) on crystalline SrErTlI6 at its relaxed geometry.

Geometry as POSCAR:
```
SrErTlI6
1.0
8.178 0.000 0.000
-4.089 7.083 0.000
0.000 0.000 14.973
I Tl Sr Er
12 2 2 2
Cartesian
1.126 6.902 13.004
-2.452 4.606 13.004
5.215 0.180 5.517
2.452 4.606 9.456
2.963 0.180 1.969
1.637 2.476 5.517
5.415 4.426 5.517
-1.326 2.656 9.456
1.326 2.656 13.004
2.764 4.426 1.969
6.541 2.476 1.969
-1.126 6.902 9.456
0.000 0.000 0.000
0.000 0.000 7.487
4.089 2.361 11.230
0.000 4.722 3.743
4.089 2.361 3.743
0.000 4.722 11.230
```

Results
Symmetry: P-31c



Calculated volume, 351.0, 602.2, 388.8, 129.1, 131.9, 134.0, 138.8, 845.7, 539.7, 361.8, 168.0, 867.3 Å³/cell (same order as the records).
Calculated energy relative to the elements, uncorrected, -1.33, -1.21, -1.35, -0.32, -0.38, -0.06, -0.67, -0.93, -0.78, -1.19, -0.17, -1.33 eV/atom (same order as the records).